(1)
A plane-wave DFT calculation with PBE was carried out for a relaxed Dy8Y2Sc3 crystal.

CIF file:
```
data_Dy8Y2Sc3
_chemical_formula_sum 'Dy16 Y4 Sc6'
_cell_length_a 14.682
_cell_length_b 8.697
_cell_length_c 6.547
_cell_angle_alpha 90.00
_cell_angle_beta 98.60
_cell_angle_gamma 90.00
_space_group_name_H-M_alt 'C 1 2/m 1'
_space_group_IT_number 12
loop_
_space_group_symop_operation_xyz
'x,y,z'
'-x,-y,-z'
'-x,y,-z'
'x,-y,z'
'x+1/2,y+1/2,z'
'-x+1/2,-y+1/2,-z'
'-x+1/2,y+1/2,-z'
'x+1/2,-y+1/2,z'
loop_
_atom_site_label
_atom_site_type_symbol
_atom_site_fract_x
_atom_site_fract_y
_atom_site_fract_z
_atom_site_occupancy
Dy1 Dy 0.087 0.000 0.388 1
Dy2 Dy 0.109 0.183 0.927 1
Dy3 Dy 0.192 0.500 0.293 1
Y1 Y 0.201 0.500 0.786 1
Sc1 Sc 0.000 0.337 0.500 1
Sc2 Sc 0.000 0.500 0.000 1
```

Summary:
formation enthalpy at 0 K: 259.0 meV/atom
E above lowest polymorph: 62 meV/atom

***

(2)
A plane-wave DFT calculation with PBE was carried out for a relaxed Li2Nb2CrN6 crystal.

CIF file:
```
data_Li2Nb2CrN6
_chemical_formula_sum 'Li4 Nb4 Cr2 N12'
_cell_length_a 5.242
_cell_length_b 9.048
_cell_length_c 5.376
_cell_angle_alpha 90.00
_cell_angle_beta 107.07
_cell_angle_gamma 90.00
_space_group_name_H-M_alt 'C 1 2/m 1'
_space_group_IT_number 12
loop_
_space_group_symop_operation_xyz
'x,y,z'
'-x,-y,-z'
'-x,y,-z'
'x,-y,z'
'x+1/2,y+1/2,z'
'-x+1/2,-y+1/2,-z'
'-x+1/2,y+1/2,-z'
'x+1/2,-y+1/2,z'
loop_
_atom_site_label
_atom_site_type_symbol
_atom_site_fract_x
_atom_site_fract_y
_atom_site_fract_z
_atom_site_occupancy
Li1 Li 0.000 0.161 0.000 1
Nb1 Nb 0.000 0.332 0.500 1
Cr1 Cr 0.000 0.000 0.500 1
N1 N 0.222 0.164 0.715 1
N2 N 0.241 0.000 0.293 1
```

Summary:
ΔE_f (raw): -407 meV/atom